Entry 1:
First-principles (PBE) data for a geometry-optimized GeRuW structure, as listed in Alexandria via LeMat-Bulk.

Values from the calculation:
- Size of the total moment: 0.000 μB/f.u.
- ΔE_f: -0.04 eV/atom

Cell lengths 4.2623, 4.2623, 2.8371 Å; angles 90.00, 90.00, 120.00 degrees
Closest atoms and distances in Å follow each position.
Sites, in units of the cell vectors:
W 0.6667 0.3333 0.5000  2 W 2.84, 6 Ru 2.84, 6 Ge 2.84
Ru 0.3333 0.6667 0.0000  3 Ge 2.46
Ge 0.0000 0.0000 0.0000  3 Ru 2.46

Entry 2:
First-principles (PBE) data for a geometry-optimized Ge2RuW structure, as listed in Alexandria via LeMat-Bulk.

Values from the calculation:
- Size of the total moment: 0.000 μB/f.u.
- Energy above the most stable polymorph in this dataset: 0.000 eV per atom
- ΔE_f: 0.19 eV/atom

Cell lengths 4.4227, 4.4227, 4.4227 Å; angles 60.00, 60.00, 60.00 degrees
Closest atoms and distances in Å follow each position.
Sites, in units of the cell vectors:
Ru 0.0000 0.0000 0.0000  8 Ge 2.71
W 0.5000 0.5000 0.5000  8 Ge 2.71
Ge 0.7500 0.7500 0.7500  4 W 2.71, 4 Ru 2.71
Ge 0.2500 0.2500 0.2500  4 W 2.71, 4 Ru 2.71

Entry 3:
First-principles (PBE) data for a geometry-optimized GeRuW structure, as listed in Alexandria via LeMat-Bulk.

Values from the calculation:
- Size of the total moment: 0.000 μB/f.u.
- ΔE_f: -0.01 eV/atom

Cell lengths 2.9368, 2.9368, 5.5202 Å; angles 105.43, 105.43, 90.00 degrees
Closest atoms and distances in Å follow each position.
Sites, in units of the cell vectors:
W 0.0005 0.0005 0.0010  4 Ge 2.74, 4 Ru 2.75, 4 W 2.94
Ge 0.6749 0.6749 0.3498  4 Ru 2.58, 4 W 2.74
Ru 0.3246 0.3246 0.6492  4 Ge 2.58, 4 W 2.75

Entry 4:
First-principles (PBE) data for a geometry-optimized GeRuW structure, as listed in Alexandria via LeMat-Bulk.

Values from the calculation:
- Size of the total moment: 0.000 μB/f.u.
- ΔE_f: -0.01 eV/atom

Cell lengths 2.9602, 4.8370, 7.0415 Å; angles 71.79, 77.33, 72.10 degrees
Closest atoms and distances in Å follow each position.
Sites, in units of the cell vectors:
Ge 0.2156 0.9759 0.9208  5 Ru 2.56-2.64, 2 W 2.78-2.83, 1 Ge 2.86
Ge 0.5793 0.4777 0.6792  5 W 2.62-2.80, 2 Ru 2.68-2.72, 2 Ge 2.86-2.89
Ru 0.9112 0.5048 0.0023  5 Ge 2.56-2.72, 2 W 2.70
Ru 0.5556 0.9727 0.2388  5 W 2.60-2.74, 2 Ge 2.63-2.64
W 0.8819 0.9704 0.5747  5 Ge 2.62-2.83, 2 Ru 2.74, 2 W 2.90
W 0.2500 0.4814 0.3352  5 Ru 2.60-2.70, 2 Ge 2.77-2.80, 2 W 2.90